# 1
Below is an optimized crystal structure of BaAlVO4, with properties calculated at the PBE+U level.

Output
As for the symmetry: P2_1/m, No. 11. The calculation puts the total DFT energy (no corrections) at -7.1800 eV/atom.

Unit cell a=5.4074 b=5.7041 c=7.1212 alpha=90.00 beta=106.43 gamma=90.00
Positions (direct):
Ba 0.2279 0.2500 0.4413
Ba 0.7721 0.7500 0.5587
Al 0.2264 0.7500 0.1677
Al 0.7736 0.2500 0.8323
V 0.3560 0.2500 0.9849
V 0.6440 0.7500 0.0151
O 0.0324 0.2500 0.0474
O 0.1375 0.7500 0.3842
O 0.4706 0.5270 0.1723
O 0.4706 0.9730 0.1723
O 0.5294 0.0270 0.8277
O 0.5294 0.4730 0.8277
O 0.8625 0.2500 0.6158
O 0.9676 0.7500 0.9526

---

# 2
Below is an optimized crystal structure of BaAlV2O8, with properties calculated at the PBE+U level.

Output
As for the symmetry: P-3m1, No. 164. The calculation puts the total DFT energy (no corrections) at -7.2526 eV/atom.

Unit cell a=5.4927 b=5.4927 c=7.2225 alpha=90.00 beta=90.00 gamma=120.00
Positions (direct):
Ba 0.0000 0.0000 0.0000
Al 0.0000 0.0000 0.5000
V 0.3333 0.6667 0.7301
V 0.6667 0.3333 0.2699
O 0.1579 0.3158 0.6582
O 0.1579 0.8421 0.6582
O 0.3158 0.1579 0.3418
O 0.3333 0.6667 0.9652
O 0.6667 0.3333 0.0348
O 0.6842 0.8421 0.6582
O 0.8421 0.1579 0.3418
O 0.8421 0.6842 0.3418

---

# 3
Below is an optimized crystal structure of BaAlW4O7, with properties calculated at the PBE+U level.

Output
As for the symmetry: P6_3mc, No. 186. The calculation puts the total DFT energy (no corrections) at -6.8167 eV/atom.

Unit cell a=5.9749 b=5.9749 c=11.2680 alpha=90.00 beta=90.00 gamma=120.00
Positions (direct):
Ba 0.3333 0.6667 0.0000
Ba 0.6667 0.3333 0.5000
Al 0.3333 0.6667 0.3925
Al 0.6667 0.3333 0.8925
W 0.0000 0.0000 0.0084
W 0.0000 0.0000 0.5084
W 0.1735 0.3471 0.6969
W 0.1735 0.8265 0.6969
W 0.3471 0.1735 0.1969
W 0.6529 0.8265 0.6969
W 0.8265 0.1735 0.1969
W 0.8265 0.6529 0.1969
O 0.0000 0.0000 0.3134
O 0.0000 0.0000 0.8134
O 0.0060 0.5030 0.3132
O 0.1902 0.3805 0.5078
O 0.1902 0.8098 0.5078
O 0.3805 0.1902 0.0078
O 0.4970 0.5030 0.3132
O 0.4970 0.9940 0.3132
O 0.5030 0.0060 0.8132
O 0.5030 0.4970 0.8132
O 0.6195 0.8098 0.5078
O 0.8098 0.1902 0.0078
O 0.8098 0.6195 0.0078
O 0.9940 0.4970 0.8132

---

# 4
Below is an optimized crystal structure of Ba2AlW3O8, with properties calculated at the PBE+U level.

Output
As for the symmetry: P4/mmm, No. 123. The calculation puts the total DFT energy (no corrections) at -6.7759 eV/atom.

Unit cell a=3.9393 b=3.9393 c=13.0369 alpha=90.00 beta=90.00 gamma=90.00
Positions (direct):
Ba 0.0000 0.0000 0.1956
Ba 0.0000 0.0000 0.8044
Al 0.0000 0.0000 0.5000
W 0.5000 0.5000 0.0000
W 0.5000 0.5000 0.4011
W 0.5000 0.5000 0.5989
O 0.0000 0.5000 0.0000
O 0.0000 0.5000 0.3484
O 0.0000 0.5000 0.6516
O 0.5000 0.0000 0.0000
O 0.5000 0.0000 0.3484
O 0.5000 0.0000 0.6516
O 0.5000 0.5000 0.1484
O 0.5000 0.5000 0.8516

---

# 5
Below is an optimized crystal structure of BaAlWO6, with properties calculated at the PBE+U level.

Output
As for the symmetry: C2, No. 5. The calculation puts the total DFT energy (no corrections) at -7.0796 eV/atom.

Unit cell a=5.3105 b=5.3105 c=5.6144 alpha=90.13 beta=90.13 gamma=120.72
Positions (direct):
Ba 0.0000 0.0000 0.0000
Al 0.3158 0.6842 0.5000
W 0.6750 0.3250 0.5000
O 0.3917 0.0030 0.6949
O 0.3920 0.4108 0.3318
O 0.5892 0.6080 0.6682
O 0.5956 0.0064 0.2968
O 0.9936 0.4044 0.7032
O 0.9970 0.6083 0.3051

---

# 6
Below is an optimized crystal structure of BaAlW2O8, with properties calculated at the PBE+U level.

Output
As for the symmetry: P-3m1, No. 164. The calculation puts the total DFT energy (no corrections) at -7.2051 eV/atom.

Unit cell a=5.7135 b=5.7135 c=7.1443 alpha=90.00 beta=90.00 gamma=120.00
Positions (direct):
Ba 0.0000 0.0000 0.0000
Al 0.0000 0.0000 0.5000
W 0.3333 0.6667 0.7314
W 0.6667 0.3333 0.2686
O 0.1531 0.3061 0.6609
O 0.1531 0.8469 0.6609
O 0.3061 0.1531 0.3391
O 0.3333 0.6667 0.9859
O 0.6667 0.3333 0.0141
O 0.6939 0.8469 0.6609
O 0.8469 0.1531 0.3391
O 0.8469 0.6939 0.3391

---

# 7
Below is an optimized crystal structure of BaAl2WO, with properties calculated at the PBE+U level.

Output
As for the symmetry: P4/mmm, No. 123. The calculation puts the total DFT energy (no corrections) at -3.5352 eV/atom.

Unit cell a=4.9671 b=4.9671 c=6.7733 alpha=90.00 beta=90.00 gamma=90.00
Positions (direct):
Ba 0.0000 0.0000 0.0000
Al 0.0000 0.5000 0.5000
Al 0.5000 0.0000 0.5000
W 0.0000 0.0000 0.5000
O 0.5000 0.5000 0.0000